*1*
The following is a DFT calculation (PBE) of RbTl4Sn after structural relaxation.

Results
- SG: No. 51

a = 4.8127 Å, b = 9.0361 Å, c = 9.8038 Å
α = 90.00°, β = 90.00°, γ = 90.00°
Positions (direct):
Tl 0.5000 0.3053 0.9483
Tl 0.0000 0.0000 0.5000
Tl 0.5000 0.0458 0.2500
Tl 0.0000 0.0000 0.0000
Tl 0.5000 0.6947 0.4483
Tl 0.5000 0.3053 0.5517
Tl 0.5000 0.9542 0.7500
Tl 0.5000 0.6947 0.0517
Rb 0.0000 0.3697 0.2500
Rb 0.0000 0.6303 0.7500
Sn 0.0000 0.2239 0.7500
Sn 0.0000 0.7761 0.2500



*2*
The following is a DFT calculation (PBE) of RbTl4Sn after structural relaxation.

Results
- SG: No. 216

a = 6.6381 Å, b = 6.6381 Å, c = 6.6381 Å
α = 60.00°, β = 60.00°, γ = 60.00°
Positions (direct):
Sn 0.0000 0.0000 0.0000
Tl 0.6259 0.6259 0.1222
Tl 0.1222 0.6259 0.6259
Tl 0.6259 0.6259 0.6259
Tl 0.6259 0.1222 0.6259
Rb 0.2500 0.2500 0.2500



Stability, descending: *1*, *2*



*1*
The following is a DFT calculation (PBE) of RbTl3Sn3 after structural relaxation.

Results
- SG: No. 176

a = 5.9927 Å, b = 9.6732 Å, c = 9.6732 Å
α = 120.00°, β = 90.00°, γ = 90.00°
Positions (direct):
Sn 0.2500 0.8395 0.7909
Sn 0.7500 0.1605 0.2091
Sn 0.2500 0.9514 0.1605
Sn 0.7500 0.7909 0.9514
Sn 0.2500 0.2091 0.0486
Sn 0.7500 0.0486 0.8395
Rb 0.7500 0.3333 0.6667
Rb 0.2500 0.6667 0.3333
Tl 0.2500 0.0985 0.6820
Tl 0.7500 0.6820 0.5836
Tl 0.2500 0.3180 0.4164
Tl 0.7500 0.4164 0.0985
Tl 0.2500 0.5836 0.9015
Tl 0.7500 0.9015 0.3180



*2*
The following is a DFT calculation (PBE) of RbTl3Sn3 after structural relaxation.

Results
- SG: No. 223

a = 8.3364 Å, b = 8.3364 Å, c = 8.3364 Å
α = 90.00°, β = 90.00°, γ = 90.00°
Positions (direct):
Tl 0.2500 0.0000 0.5000
Tl 0.0000 0.5000 0.2500
Tl 0.7500 0.0000 0.5000
Tl 0.5000 0.7500 0.0000
Tl 0.0000 0.5000 0.7500
Tl 0.5000 0.2500 0.0000
Sn 0.2500 0.5000 0.0000
Sn 0.0000 0.2500 0.5000
Sn 0.5000 0.0000 0.2500
Sn 0.0000 0.7500 0.5000
Sn 0.5000 0.0000 0.7500
Sn 0.7500 0.5000 0.0000
Rb 0.5000 0.5000 0.5000
Rb 0.0000 0.0000 0.0000



Stability, descending: *1*, *2*



*1*
The following is a DFT calculation (PBE) of Rb2Tl2Sn after structural relaxation.

Results
- SG: No. 127

a = 8.1947 Å, b = 8.1947 Å, c = 6.1102 Å
α = 90.00°, β = 90.00°, γ = 90.00°
Positions (direct):
Rb 0.8184 0.3184 0.5000
Rb 0.3184 0.1816 0.5000
Rb 0.1816 0.6816 0.5000
Rb 0.6816 0.8184 0.5000
Tl 0.3642 0.8642 0.0000
Tl 0.8642 0.6358 0.0000
Tl 0.6358 0.1358 0.0000
Tl 0.1358 0.3642 0.0000
Sn 0.0000 0.0000 0.0000
Sn 0.5000 0.5000 0.0000



*2*
The following is a DFT calculation (PBE) of Rb2Tl2Sn after structural relaxation.

Results
- SG: No. 139

a = 4.9615 Å, b = 4.9615 Å, c = 8.8444 Å
α = 73.71°, β = 73.71°, γ = 90.00°
Positions (direct):
Tl 0.4108 0.4108 0.1784
Tl 0.5892 0.5892 0.8216
Rb 0.2500 0.7500 0.5000
Rb 0.7500 0.2500 0.5000
Sn 0.0000 0.0000 0.0000



*3*
The following is a DFT calculation (PBE) of Rb2Tl2Sn after structural relaxation.

Results
- SG: No. 15

a = 7.2924 Å, b = 7.1121 Å, c = 9.7229 Å
α = 99.72°, β = 90.00°, γ = 120.84°
Positions (direct):
Tl 0.9803 0.2312 0.9934
Tl 0.7491 0.7688 0.5066
Tl 0.2509 0.2312 0.4934
Tl 0.0197 0.7688 0.0066
Rb 0.4517 0.6864 0.8372
Rb 0.2347 0.6864 0.3372
Rb 0.5483 0.3136 0.1628
Rb 0.7653 0.3136 0.6628
Sn 0.1185 0.0000 0.7500
Sn 0.8815 0.0000 0.2500



Stability, descending: *3*, *1*, *2*